1.
The following is a DFT calculation (PBE) of a geometry-optimized BaIn2NiTe structure.

Summary:
raw formation energy: -0.52 eV/atom
E: -3.788 eV/atom

```
data_BaIn2NiTe
_chemical_formula_sum 'Ba1 In2 Ni1 Te1'
_space_group_name_H-M_alt 'P 1'
_space_group_IT_number 1
_cell_length_a 5.041
_cell_length_b 5.041
_cell_length_c 5.892
_cell_angle_alpha 90.00
_cell_angle_beta 90.00
_cell_angle_gamma 90.00
loop_
_space_group_symop_operation_xyz
'x,y,z'
loop_
_atom_site_label
_atom_site_type_symbol
_atom_site_fract_x
_atom_site_fract_y
_atom_site_fract_z
In1 In 0.000 0.500 0.000
In2 In 0.500 0.000 0.000
Ba1 Ba 0.000 0.000 0.500
Ni1 Ni 0.000 0.000 0.000
Te1 Te 0.500 0.500 0.500
```

=====

2.
The following is a DFT calculation (PBE) of a geometry-optimized BaTlIn2Ni structure.

Summary:
relative energy among the computed polymorphs: 54.6 meV per atom
E: -3.265 eV/atom
E_form: -0.16 eV/atom

```
data_BaTlIn2Ni
_chemical_formula_sum 'Ba1 Tl1 In2 Ni1'
_space_group_name_H-M_alt 'P 1'
_space_group_IT_number 1
_cell_length_a 5.105
_cell_length_b 5.105
_cell_length_c 5.736
_cell_angle_alpha 90.00
_cell_angle_beta 90.00
_cell_angle_gamma 90.00
loop_
_space_group_symop_operation_xyz
'x,y,z'
loop_
_atom_site_label
_atom_site_type_symbol
_atom_site_fract_x
_atom_site_fract_y
_atom_site_fract_z
Ni1 Ni 0.000 0.000 0.000
In1 In 0.500 0.000 0.000
In2 In 0.000 0.500 0.000
Ba1 Ba 0.000 0.000 0.500
Tl1 Tl 0.500 0.500 0.500
```

=====

3.
The following is a DFT calculation (PBE) of a geometry-optimized Ba2TlInNi structure.

Summary:
relative energy among the computed polymorphs: 55.4 meV per atom
E: -3.096 eV/atom
E_form: -0.15 eV/atom

```
data_Ba2TlInNi
_chemical_formula_sum 'Ba2 Tl1 In1 Ni1'
_space_group_name_H-M_alt 'P 1'
_space_group_IT_number 1
_cell_length_a 5.977
_cell_length_b 5.977
_cell_length_c 5.032
_cell_angle_alpha 90.00
_cell_angle_beta 90.00
_cell_angle_gamma 90.00
loop_
_space_group_symop_operation_xyz
'x,y,z'
loop_
_atom_site_label
_atom_site_type_symbol
_atom_site_fract_x
_atom_site_fract_y
_atom_site_fract_z
Ba1 Ba 0.000 0.500 0.000
Ba2 Ba 0.500 0.000 0.000
Ni1 Ni 0.000 0.000 0.000
Tl1 Tl 0.000 0.000 0.500
In1 In 0.500 0.500 0.500
```

=====

4.
The following is a DFT calculation (PBE) of a geometry-optimized Ba2TlInNi structure.

Summary:
relative energy among the computed polymorphs: 0.0 meV per atom
E: -3.152 eV/atom
E_form: -0.21 eV/atom

```
data_Ba2TlInNi
_chemical_formula_sum 'Ba2 Tl1 In1 Ni1'
_space_group_name_H-M_alt 'P 1'
_space_group_IT_number 1
_cell_length_a 5.984
_cell_length_b 5.984
_cell_length_c 4.990
_cell_angle_alpha 90.00
_cell_angle_beta 90.00
_cell_angle_gamma 90.00
loop_
_space_group_symop_operation_xyz
'x,y,z'
loop_
_atom_site_label
_atom_site_type_symbol
_atom_site_fract_x
_atom_site_fract_y
_atom_site_fract_z
Ni1 Ni 0.000 0.000 0.000
Ba1 Ba 0.000 0.500 0.000
Ba2 Ba 0.500 0.000 0.000
In1 In 0.000 0.000 0.500
Tl1 Tl 0.500 0.500 0.500
```